First-principles (PBE-GGA) data for an optimized crystal structure of PuZnBi, as listed in Alexandria.

The structure in POSCAR format:
```
PuZnBi
1.0
-1.238 -4.280 1.593
2.761 -1.310 -1.374
6.354 1.030 7.704
Zn Bi Pu
2 2 2
Direct
0.750 0.468 0.063 Zn
0.250 0.532 0.937 Zn
0.750 0.319 0.362 Bi
0.250 0.681 0.638 Bi
0.750 0.101 0.798 Pu
0.250 0.899 0.202 Pu
```

Output
As for the space group: Cmcm. The calculation puts the total magnetization at 5.500 μB/f.u. The mass density comes out at 10.970 Mg/m³. The calculation puts the formation energy at -0.47 eV per formula unit.

=====

First-principles (PBE-GGA) data for an optimized crystal structure of Na2UMn2S6, as listed in Alexandria.

The structure in POSCAR format:
```
Na2UMn2S6
1.0
5.827 0.011 0.150
-2.870 5.071 0.150
-0.943 -1.622 6.949
Na U Mn S
2 1 2 6
Direct
0.833 0.167 0.000 Na
0.167 0.833 0.000 Na
0.000 0.000 0.500 U
0.358 0.642 0.500 Mn
0.642 0.358 0.500 Mn
0.693 0.693 0.721 S
0.051 0.424 0.693 S
0.307 0.307 0.279 S
0.424 0.051 0.693 S
0.949 0.576 0.307 S
0.576 0.949 0.307 S
```

Output
As for the space group: C2/m. The value obtained for the formation energy from raw total energies is -919.6 meV/atom. The calculation puts the total magnetization at 0.084 μB/f.u. The mass density comes out at 4.671 Mg/m³.

=====

First-principles (PBE-GGA) data for an optimized crystal structure of LaPmSm2S4, as listed in Alexandria.

The structure in POSCAR format:
```
LaPmSm2S4
1.0
-3.801 1.291 0.314
-2.284 -6.062 -2.731
0.372 -0.609 7.004
La Pm Sm S
1 1 2 4
Direct
0.000 0.000 0.000 La
0.500 0.500 0.000 Pm
0.500 0.000 0.500 Sm
0.000 0.500 0.500 Sm
0.500 0.256 0.258 S
0.500 0.744 0.742 S
0.000 0.252 0.745 S
0.000 0.748 0.255 S
```

Output
As for the space group: P2/m. The value obtained for the formation energy from raw total energies is -2061.3 meV/atom. The calculation puts the total magnetization at 0.000 μB/f.u. The mass density comes out at 6.291 Mg/m³.

=====

First-principles (PBE-GGA) data for an optimized crystal structure of TaMn2Cr, as listed in Alexandria.

The structure in POSCAR format:
```
TaMn2Cr
1.0
-3.722 5.521 4.431
-2.478 4.037 6.445
-1.067 6.052 5.120
Cr Mn Ta
1 2 1
Direct
0.750 0.750 0.750 Cr
0.009 0.009 0.009 Mn
0.491 0.491 0.491 Mn
0.250 0.250 0.250 Ta
```

Output
As for the space group: R-3m. The calculation puts the total magnetization at 0.003 μB/f.u. The mass density comes out at 10.748 Mg/m³. The calculation puts the formation energy at 1.39 eV per formula unit.

=====

First-principles (PBE-GGA) data for an optimized crystal structure of Sm3Tm8Pu, as listed in Alexandria.

The structure in POSCAR format:
```
Sm3Tm8Pu
1.0
-7.035 -4.360 -0.343
6.506 -2.912 -4.217
3.989 0.247 7.254
Sm Tm Pu
3 8 1
Direct
0.500 0.750 0.250 Sm
0.500 0.250 0.750 Sm
0.000 0.500 0.500 Sm
0.460 0.196 0.196 Tm
0.540 0.737 0.737 Tm
0.000 0.804 0.263 Tm
0.000 0.263 0.804 Tm
0.252 0.358 0.358 Tm
0.748 0.106 0.106 Tm
0.000 0.642 0.894 Tm
0.000 0.894 0.642 Tm
0.000 0.000 0.000 Pu
```

Output
As for the space group: I-42m. The calculation puts the total magnetization at 3.952 μB/f.u. The mass density comes out at 8.172 Mg/m³. The calculation puts the formation energy at 7.15 eV per formula unit.

=====

First-principles (PBE-GGA) data for an optimized crystal structure of Sr3Ge3Pd, as listed in Alexandria.

The structure in POSCAR format:
```
Sr3Ge3Pd
1.0
4.526 0.000 0.682
2.266 5.762 0.322
0.121 -0.525 14.562
Sr Ge Pd
6 6 2
Direct
0.581 0.231 0.607 Sr
0.419 0.769 0.393 Sr
0.232 0.310 0.225 Sr
0.768 0.690 0.775 Sr
0.404 0.268 0.923 Sr
0.596 0.732 0.077 Sr
0.887 0.671 0.554 Ge
0.113 0.329 0.446 Ge
0.108 0.858 0.926 Ge
0.892 0.142 0.074 Ge
0.935 0.903 0.227 Ge
0.065 0.097 0.773 Ge
0.717 0.192 0.374 Pd
0.283 0.808 0.626 Pd
```

Output
As for the space group: C2/m. The calculation puts the total magnetization at 0.000 μB/f.u. The mass density comes out at 5.141 Mg/m³. The calculation puts the formation energy at -4.64 eV per formula unit.

=====

First-principles (PBE-GGA) data for an optimized crystal structure of SiHgIr2, as listed in Alexandria.

The structure in POSCAR format:
```
SiHgIr2
1.0
-1.253 1.766 -1.916
-1.382 -2.392 0.853
-3.788 4.576 6.697
Hg Ir Si
1 2 1
Direct
0.500 0.500 0.750 Hg
0.000 0.000 0.045 Ir
0.000 0.000 0.455 Ir
0.500 0.500 0.250 Si
```

Output
As for the space group: Cmmm. The value obtained for the formation energy from raw total energies is 35.6 meV/atom. The calculation puts the total magnetization at 0.000 μB/f.u. The mass density comes out at 15.644 Mg/m³. The energy relative to the lowest polymorph listed for this composition comes out at 5.22 kcal/mol of atoms.

=====

First-principles (PBE-GGA) data for an optimized crystal structure of La5ZnGa2, as listed in Alexandria.

The structure in POSCAR format:
```
La5ZnGa2
1.0
-3.388 0.605 7.138
3.634 -6.660 2.289
5.825 7.124 -2.237
La Zn Ga
10 2 4
Direct
0.526 0.677 0.703 La
0.823 0.974 0.297 La
0.000 0.000 0.000 La
0.500 0.500 0.000 La
0.177 0.026 0.703 La
0.677 0.177 0.703 La
0.026 0.526 0.703 La
0.323 0.823 0.297 La
0.974 0.474 0.297 La
0.474 0.323 0.297 La
0.750 0.750 0.500 Zn
0.250 0.250 0.500 Zn
0.116 0.384 0.000 Ga
0.616 0.116 0.000 Ga
0.384 0.884 0.000 Ga
0.884 0.616 0.000 Ga
```

Output
As for the space group: I4/mcm. The calculation puts the total magnetization at 0.001 μB/f.u. The mass density comes out at 6.229 Mg/m³. The calculation puts the formation energy at -2.88 eV per formula unit.

=====

First-principles (PBE-GGA) data for an optimized crystal structure of ErLu2Ir, as listed in Alexandria.

The structure in POSCAR format:
```
ErLu2Ir
1.0
-0.832 -3.184 -0.764
2.898 -1.083 1.357
-3.970 -0.838 7.808
Ir Lu Er
1 2 1
Direct
0.500 0.500 0.000 Ir
0.000 0.000 0.814 Lu
0.000 0.000 0.186 Lu
0.500 0.500 0.500 Er
```

Output
As for the space group: P4/mmm. The calculation puts the total magnetization at 0.001 μB/f.u. The mass density comes out at 11.728 Mg/m³. The energy relative to the lowest polymorph listed for this composition comes out at 0.00 kcal/mol of atoms. The calculation puts the formation energy at -1.89 eV per formula unit.

=====

First-principles (PBE-GGA) data for an optimized crystal structure of SmZrIrOs, as listed in Alexandria.

The structure in POSCAR format:
```
SmZrIrOs
1.0
-0.108 -4.757 -0.587
2.258 -2.008 -3.723
3.967 -2.595 0.719
Ir Os Zr Sm
1 1 1 1
Direct
0.000 0.000 0.000 Ir
0.500 0.500 0.500 Os
0.250 0.250 0.250 Zr
0.750 0.750 0.750 Sm
```

Output
As for the space group: F-43m. The calculation puts the total magnetization at 0.000 μB/f.u. The mass density comes out at 13.295 Mg/m³. The calculation puts the formation energy at -1.59 eV per formula unit.

=====

First-principles (PBE-GGA) data for an optimized crystal structure of CsSm2Pb3Se6, as listed in Alexandria.

The structure in POSCAR format:
```
CsSm2Pb3Se6
1.0
-3.295 1.434 2.233
1.712 -6.659 6.805
7.022 6.354 2.272
Cs Sm Pb Se
1 2 3 6
Direct
0.500 0.000 0.000 Cs
0.830 0.659 0.659 Sm
0.170 0.341 0.341 Sm
0.500 0.500 0.000 Pb
0.838 0.178 0.675 Pb
0.162 0.822 0.325 Pb
0.314 0.864 0.627 Se
0.669 0.562 0.337 Se
0.686 0.136 0.373 Se
0.020 0.287 0.040 Se
0.980 0.713 0.960 Se
0.331 0.438 0.663 Se
```

Output
As for the space group: C2/m. The value obtained for the formation energy from raw total energies is -1074.7 meV/atom. The calculation puts the total magnetization at 0.000 μB/f.u. The mass density comes out at 6.613 Mg/m³.

=====

First-principles (PBE-GGA) data for an optimized crystal structure of SrEu2Ga, as listed in Alexandria.

The structure in POSCAR format:
```
SrEu2Ga
1.0
-0.726 3.733 0.797
-3.577 -0.382 -1.468
-3.363 -2.544 8.859
Eu Sr Ga
2 1 1
Direct
0.000 0.000 0.824 Eu
0.000 0.000 0.176 Eu
0.500 0.500 0.500 Sr
0.500 0.500 0.000 Ga
```

Output
As for the space group: P4/mmm. The calculation puts the total magnetization at 14.405 μB/f.u. The mass density comes out at 5.172 Mg/m³. The energy relative to the lowest polymorph listed for this composition comes out at 0.00 kcal/mol of atoms. The calculation puts the formation energy at -0.93 eV per formula unit.

=====

First-principles (PBE-GGA) data for an optimized crystal structure of PmNpP, as listed in Alexandria.

The structure in POSCAR format:
```
PmNpP
1.0
3.567 0.000 0.000
0.000 3.567 0.000
-1.783 -1.783 5.833
Np P Pm
1 1 1
Direct
0.706 0.706 0.413 Np
0.325 0.325 0.649 P
0.969 0.969 0.938 Pm
```

Output
As for the space group: I4mm. The calculation puts the total magnetization at 4.570 μB/f.u. The mass density comes out at 9.240 Mg/m³. The energy relative to the lowest polymorph listed for this composition comes out at 2.06 kcal/mol of atoms. The calculation puts the formation energy at -1.04 eV per formula unit.

=====

First-principles (PBE-GGA) data for an optimized crystal structure of Pb3AuC, as listed in Alexandria.

The structure in POSCAR format:
```
Pb3AuC
1.0
-2.427 -0.319 4.933
3.029 -4.439 1.203
3.906 3.244 2.131
Pb C Au
3 1 1
Direct
0.000 0.500 0.000 Pb
0.000 0.000 0.500 Pb
0.500 0.000 0.000 Pb
0.500 0.500 0.500 C
0.000 0.000 0.000 Au
```

Output
As for the space group: Pm-3m. The calculation puts the total magnetization at 0.000 μB/f.u. The mass density comes out at 8.259 Mg/m³. The energy relative to the lowest polymorph listed for this composition comes out at 17.11 kcal/mol of atoms. The calculation puts the formation energy at 8.24 eV per formula unit.

=====

First-principles (PBE-GGA) data for an optimized crystal structure of Mn2V13, as listed in Alexandria.

The structure in POSCAR format:
```
Mn2V13
1.0
-1.435 -3.264 -3.343
4.353 -3.790 3.320
-6.289 -0.752 2.028
Mn V
2 13
Direct
0.866 0.799 0.533 Mn
0.134 0.201 0.467 Mn
0.733 0.599 0.063 V
0.267 0.401 0.937 V
0.000 0.000 0.000 V
0.321 0.000 0.664 V
0.679 0.000 0.336 V
0.064 0.598 0.728 V
0.936 0.402 0.272 V
0.414 0.606 0.402 V
0.586 0.394 0.598 V
0.538 0.801 0.862 V
0.462 0.199 0.138 V
0.804 0.196 0.793 V
0.196 0.804 0.207 V
```

Output
As for the space group: P-1. The calculation puts the total magnetization at 0.000 μB/f.u. The mass density comes out at 6.573 Mg/m³. The calculation puts the formation energy at -1.28 eV per formula unit.

=====

First-principles (PBE-GGA) data for an optimized crystal structure of ThTi2BeN4, as listed in Alexandria.

The structure in POSCAR format:
```
ThTi2BeN4
1.0
3.145 0.000 0.000
-1.573 5.210 0.000
0.000 0.000 10.373
Th Ti Be N
2 4 2 8
Direct
0.102 0.203 0.750 Th
0.898 0.797 0.250 Th
0.371 0.741 0.547 Ti
0.629 0.259 0.047 Ti
0.629 0.259 0.453 Ti
0.371 0.741 0.953 Ti
0.830 0.660 0.750 Be
0.170 0.340 0.250 Be
0.264 0.529 0.117 N
0.736 0.471 0.617 N
0.736 0.471 0.883 N
0.264 0.529 0.383 N
0.000 0.000 0.500 N
0.000 0.000 0.000 N
0.416 0.832 0.750 N
0.584 0.168 0.250 N
```

Output
As for the space group: Cmcm. The value obtained for the formation energy from raw total energies is -1483.7 meV/atom. The calculation puts the total magnetization at 0.000 μB/f.u. The mass density comes out at 7.675 Mg/m³.

=====

First-principles (PBE-GGA) data for an optimized crystal structure of CsTc2PO8, as listed in Alexandria.

The structure in POSCAR format:
```
CsTc2PO8
1.0
-4.830 -1.430 -1.992
-3.811 -1.981 3.300
-5.934 7.156 1.888
Cs Tc P O
1 2 1 8
Direct
0.000 0.000 0.000 Cs
0.773 0.773 0.682 Tc
0.227 0.227 0.318 Tc
0.500 0.500 0.500 P
0.708 0.708 0.877 O
0.292 0.292 0.123 O
0.393 0.393 0.386 O
0.607 0.607 0.614 O
0.171 0.607 0.614 O
0.393 0.829 0.386 O
0.829 0.393 0.386 O
0.607 0.171 0.614 O
```

Output
As for the space group: R-3m. The value obtained for the formation energy from raw total energies is -1316.2 meV/atom. The calculation puts the total magnetization at 2.450 μB/f.u. The mass density comes out at 3.560 Mg/m³.

=====

First-principles (PBE-GGA) data for an optimized crystal structure of PaMoN3, as listed in Alexandria.

The structure in POSCAR format:
```
PaMoN3
1.0
3.891 0.000 0.000
0.000 5.428 0.000
-1.946 0.000 6.098
Pa Mo N
2 2 6
Direct
0.340 0.494 0.681 Pa
0.660 0.994 0.319 Pa
0.949 0.914 0.898 Mo
0.051 0.414 0.102 Mo
0.888 0.266 0.776 N
0.112 0.766 0.224 N
0.538 0.388 0.076 N
0.462 0.888 0.924 N
0.801 0.732 0.601 N
0.199 0.232 0.399 N
```

Output
As for the space group: Cmc2_1. The value obtained for the formation energy from raw total energies is -1006.3 meV/atom. The calculation puts the total magnetization at 0.000 μB/f.u. The mass density comes out at 9.515 Mg/m³.

=====

First-principles (PBE-GGA) data for an optimized crystal structure of Tl3In2Se4, as listed in Alexandria.

The structure in POSCAR format:
```
Tl3In2Se4
1.0
6.627 -0.207 0.598
0.377 8.934 3.004
-0.498 -0.582 9.401
Tl In Se
6 4 8
Direct
0.963 0.019 0.775 Tl
0.537 0.225 0.981 Tl
0.037 0.981 0.225 Tl
0.463 0.775 0.019 Tl
0.250 0.389 0.611 Tl
0.750 0.611 0.389 Tl
0.412 0.826 0.590 In
0.088 0.410 0.174 In
0.588 0.174 0.410 In
0.912 0.590 0.826 In
0.473 0.063 0.696 Se
0.027 0.304 0.937 Se
0.527 0.937 0.304 Se
0.973 0.696 0.063 Se
0.017 0.786 0.576 Se
0.483 0.424 0.214 Se
0.983 0.214 0.424 Se
0.517 0.576 0.786 Se
```

Output
As for the space group: C2/c. The value obtained for the formation energy from raw total energies is -412.8 meV/atom. The calculation puts the total magnetization at 0.000 μB/f.u. The mass density comes out at 6.731 Mg/m³.

=====

First-principles (PBE-GGA) data for an optimized crystal structure of La2Al4CuAu3, as listed in Alexandria.

The structure in POSCAR format:
```
La2Al4CuAu3
1.0
4.440 0.000 0.000
0.000 4.440 0.000
0.000 0.000 10.485
La Al Cu Au
2 4 1 3
Direct
0.500 0.000 0.256 La
0.000 0.500 0.744 La
0.500 0.500 0.000 Al
0.000 0.000 0.000 Al
0.500 0.000 0.625 Al
0.000 0.500 0.375 Al
0.500 0.500 0.500 Cu
0.000 0.000 0.500 Au
0.500 0.000 0.868 Au
0.000 0.500 0.132 Au
```

Output
As for the space group: P-4m2. The calculation puts the total magnetization at 0.000 μB/f.u. The mass density comes out at 8.357 Mg/m³. The calculation puts the formation energy at -6.84 eV per formula unit.